Computed, not measured: a relaxed structure of Co13Ni16 at the PBE level of DFT.

Summary:
For the formation energy, the calculation gives 0.10 eV/atom. For the total energy, the calculation gives -6.159 eV per atom. The space group is No. 217. For the energy relative to the lowest polymorph listed for this composition, the calculation gives 48.8 meV per atom.

a b c (Å): 7.4257 7.4257 7.4257
angles (deg): 109.47 109.47 109.47
Positions (direct):
1 Co 0.0000 0.0000 0.0000
2 Co 0.0000 0.4073 0.6832
3 Co 0.0000 0.6832 0.4073
4 Co 0.2759 0.5927 0.5927
5 Co 0.3168 0.3168 0.7241
6 Co 0.3168 0.7241 0.3168
7 Co 0.4073 0.0000 0.6832
8 Co 0.4073 0.6832 0.0000
9 Co 0.5927 0.2759 0.5927
10 Co 0.5927 0.5927 0.2759
11 Co 0.6832 0.0000 0.4073
12 Co 0.6832 0.4073 0.0000
13 Co 0.7241 0.3168 0.3168
14 Ni 0.0000 0.0000 0.6410
15 Ni 0.0000 0.1907 0.3761
16 Ni 0.0000 0.3761 0.1907
17 Ni 0.0000 0.6410 0.0000
18 Ni 0.1854 0.8093 0.8093
19 Ni 0.1907 0.0000 0.3761
20 Ni 0.1907 0.3761 0.0000
21 Ni 0.3590 0.3590 0.3590
22 Ni 0.3761 0.0000 0.1907
23 Ni 0.3761 0.1907 0.0000
24 Ni 0.6239 0.6239 0.8146
25 Ni 0.6239 0.8146 0.6239
26 Ni 0.6410 0.0000 0.0000
27 Ni 0.8093 0.1854 0.8093
28 Ni 0.8093 0.8093 0.1854
29 Ni 0.8146 0.6239 0.6239